# NdPuCoCu

NdPuCoCu after structural relaxation (PBE-GGA, Alexandria).

Calculated formation energy: 0.07 eV per atom
Space group: No. 216

a b c (Å): 4.8944 4.8944 4.8944
angles (deg): 60.00 60.00 60.00
Fractional coordinates of all 4 atoms:
Co  0.7500  0.7500  0.7500
Nd  0.5000  0.5000  0.5000
Cu  0.2500  0.2500  0.2500
Pu  0.0000  0.0000  0.0000

# NdThCoCu

NdThCoCu after structural relaxation (PBE-GGA, Alexandria).

Calculated formation energy: -0.06 eV per atom
Space group: No. 216

a b c (Å): 4.9770 4.9770 4.9770
angles (deg): 60.00 60.00 60.00
Fractional coordinates of all 4 atoms:
Co  0.7500  0.7500  0.7500
Nd  0.0000  0.0000  0.0000
Cu  0.2500  0.2500  0.2500
Th  0.5000  0.5000  0.5000